Entry 1:
Crystalline Ac8Ga2Sn at its relaxed geometry. Source: Alexandria via LeMat-Bulk, functional PBE.

* V: 38.43 A^3/atom
* ΔH_f (0 K): -0.247 eV/atom
* total energy: -4.15 eV per atom

Unit cell a=20.7054 b=5.5026 c=7.5824 alpha=90.00 beta=101.84 gamma=90.00
Last column: nearest neighbours and their distance in Å.
Space group C2/m (No. 12)
Asymmetric unit:
Ac  0.0317  0.0000  0.2678 (multiplicity 4)  1 Ga 3.31, 2 Sn 3.40
Ac  0.0919  0.5000  0.9541 (multiplicity 4)  1 Sn 3.58, 2 Ga 3.84, 7 Ac 3.89-4.00
Ac  0.1651  0.5000  0.4755 (multiplicity 4)  3 Ga 3.30-3.35, 1 Sn 3.46
Ac  0.2076  0.0000  0.8281 (multiplicity 4)  3 Ga 3.27-3.59
Ga  0.1897  0.0000  0.2463 (multiplicity 4)  7 Ac 3.27-3.59
Sn  0.0000  0.5000  0.5000 (multiplicity 2)  8 Ac 3.40-3.58



Entry 2:
Crystalline ZrCu2GeAu at its relaxed geometry. Source: Alexandria via LeMat-Bulk, functional PBE.

* V: 25.09 A^3/atom
* ΔH_f (0 K): 1.172 eV/atom
* total energy: -3.76 eV per atom

Unit cell a=4.9045 b=4.9045 c=5.2154 alpha=90.00 beta=90.00 gamma=90.00
Last column: nearest neighbours and their distance in Å.
Space group P4/mmm (No. 123)
Asymmetric unit:
Zr  0.0000  0.0000  0.0000 (multiplicity 1)  4 Cu 2.45, 2 Au 2.61
Cu  0.0000  0.5000  0.0000 (multiplicity 2)  2 Zr 2.45
Ge  0.5000  0.5000  0.5000 (multiplicity 1)  4 Au 3.47, 8 Cu 3.58
Au  0.0000  0.0000  0.5000 (multiplicity 1)  2 Zr 2.61



Number 1: N(E_F) 23.76 states/eV per cell. Number 2: N(E_F) 6.47 states/eV per cell.